Be2NiPPb: single point on PBEsol structure, meta-GGA SCAN.

The spin magnetization is 0.3 μB per formula unit. As for the theoretical density: 5.86 g cm⁻³. For the formation energy, the calculation gives 675 meV/atom. The value obtained for the total energy is -21.54 eV per atom. The density of states at the Fermi level comes out at 1.4 states/eV/f.u.

The space group is P4/mmm (No. 123) and the conventional cell measures 3.900, 3.900 and 5.866 Å, with angles of 90.00, 90.00 and 90.00 degrees. The asymmetric unit holds Be at (0.000, 0.500, 0.000), Ni at (0.000, 0.000, 0.500), P at (0.500, 0.500, 0.000) and Pb at (0.500, 0.500, 0.500).


O2F: single point on PBEsol structure, meta-GGA SCAN.

The spin magnetization is 0.0 μB per formula unit. As for the theoretical density: 2.09 g cm⁻³. The value obtained for the total energy is -5.30 eV per atom. The density of states at the Fermi level comes out at 0.0 states/eV/f.u.

The space group is P1 (No. 1) and the conventional cell measures 3.601, 4.798 and 5.550 Å, with angles of 112.01, 93.40 and 111.01 degrees. The asymmetric unit holds O at (0.000, 0.000, 0.000), O at (0.047, 0.996, 0.559), O at (0.310, 0.223, 0.015), O at (0.775, 0.809, 0.614), F at (0.253, 0.567, 0.101) and F at (0.935, 0.291, 0.547).


TaIrPt2: single point on PBEsol structure, meta-GGA SCAN.

The spin magnetization is 0.0 μB per formula unit. As for the theoretical density: 20.84 g cm⁻³. For the formation energy, the calculation gives -463 meV/atom. The value obtained for the total energy is -69.98 eV per atom. The density of states at the Fermi level comes out at 3.2 states/eV/f.u. The calculation puts the energy relative to the lowest polymorph listed for this composition at 0.245 eV per atom.

The space group is P2/m (No. 10) and the conventional cell measures 4.759, 2.837 and 4.769 Å, with angles of 90.00, 109.19 and 90.00 degrees. The asymmetric unit holds Ta at (0.000, 0.000, 0.000), Ir at (0.500, 0.500, 0.000), Pt at (0.000, 0.500, 0.500) and Pt at (0.500, 0.000, 0.500).


PmGePd2: single point on PBEsol structure, meta-GGA SCAN.

The spin magnetization is 0.0 μB per formula unit. As for the theoretical density: 9.83 g cm⁻³. For the formation energy, the calculation gives -723 meV/atom. The value obtained for the total energy is -32.88 eV per atom. The density of states at the Fermi level comes out at 2.2 states/eV/f.u.

The space group is Fm-3m (No. 225) and the conventional cell measures 6.626, 6.626 and 6.626 Å, with angles of 90.00, 90.00 and 90.00 degrees. The asymmetric unit holds Pm at (0.000, 0.000, 0.000), Ge at (0.000, 0.000, 0.500) and Pd at (0.250, 0.250, 0.250).


BH2Se: single point on PBEsol structure, meta-GGA SCAN.

The spin magnetization is 0.0 μB per formula unit. As for the theoretical density: 4.91 g cm⁻³. The value obtained for the total energy is -7.60 eV per atom. The density of states at the Fermi level comes out at 0.9 states/eV/f.u.

The space group is I4_1/amd (No. 141, origin choice 2) and the conventional cell measures 3.245, 3.245 and 11.792 Å, with angles of 90.00, 90.00 and 90.00 degrees. The asymmetric unit holds B at (0.000, 0.250, 0.375), H at (0.000, 0.000, 0.500) and Se at (0.000, 0.250, 0.875).


Fe4TcW: single point on PBEsol structure, meta-GGA SCAN.

The spin magnetization is 7.0 μB per formula unit. As for the theoretical density: 12.08 g cm⁻³. For the formation energy, the calculation gives 88 meV/atom. The value obtained for the total energy is -29.46 eV per atom. The density of states at the Fermi level comes out at 3.6 states/eV/f.u.

The space group is F-43m (No. 216) and the conventional cell measures 6.525, 6.525 and 6.525 Å, with angles of 90.00, 90.00 and 90.00 degrees. The asymmetric unit holds Fe at (0.125, 0.125, 0.125), Tc at (0.000, 0.000, 0.500) and W at (0.250, 0.250, 0.750).


BeSi2: single point on PBEsol structure, meta-GGA SCAN.

The spin magnetization is 0.0 μB per formula unit. As for the theoretical density: 2.66 g cm⁻³. The value obtained for the total energy is -7.29 eV per atom. The density of states at the Fermi level comes out at 1.2 states/eV/f.u. The calculation puts the energy relative to the lowest polymorph listed for this composition at 0.335 eV per atom.

The space group is Fd-3m (No. 227, origin choice 2) and the conventional cell measures 6.880, 6.880 and 6.880 Å, with angles of 90.00, 90.00 and 90.00 degrees. The asymmetric unit holds Be at (0.125, 0.125, 0.125) and Si at (0.000, 0.000, 0.500).


Mg3Sc: single point on PBEsol structure, meta-GGA SCAN.

The spin magnetization is 0.7 μB per formula unit. As for the theoretical density: 2.17 g cm⁻³. For the formation energy, the calculation gives -33 meV/atom. The value obtained for the total energy is -7.32 eV per atom. The density of states at the Fermi level comes out at 3.1 states/eV/f.u.

The space group is P4/mmm (No. 123) and the conventional cell measures 3.204, 3.204 and 8.789 Å, with angles of 90.00, 90.00 and 90.00 degrees. The asymmetric unit holds Mg at (0.000, 0.000, 0.000), Mg at (0.500, 0.500, 0.247) and Sc at (0.000, 0.000, 0.500).


Question: Number 1 is which compound?
Answer: Be2NiPPb


Question: spin magnetization of number 3 (TaIrPt2)?
Answer: 0.0 μB per formula unit


What did the third record say?
TaIrPt2: single point on PBEsol structure, meta-GGA SCAN.

The spin magnetization is 0.0 μB per formula unit. As for the theoretical density: 20.84 g cm⁻³. For the formation energy, the calculation gives -463 meV/atom. The value obtained for the total energy is -69.98 eV per atom. The density of states at the Fermi level comes out at 3.2 states/eV/f.u. The calculation puts the energy relative to the lowest polymorph listed for this composition at 0.245 eV per atom.

The space group is P2/m (No. 10) and the conventional cell measures 4.759, 2.837 and 4.769 Å, with angles of 90.00, 109.19 and 90.00 degrees. The asymmetric unit holds Ta at (0.000, 0.000, 0.000), Ir at (0.500, 0.500, 0.000), Pt at (0.000, 0.500, 0.500) and Pt at (0.500, 0.000, 0.500).


Question: theoretical density of number 5 (BH2Se)?
Answer: 4.91 g cm⁻³